(1)
DFT (PBE) results for an optimized crystal structure of Cs3Ac3NpO8.

Calculated values
E_form (uncorrected) ... -2612 meV per atom
E_tot ... -7.111 eV/atom

Cell: 8.308 8.308 8.308 Å, 54.80 54.80 54.80°
Fractional coordinates of all 15 atoms:
Cs (0.000, 0.500, 0.500)
Cs (0.500, 0.000, 0.500)
Cs (0.500, 0.500, 0.000)
Ac (0.000, 0.000, 0.500)
Ac (0.000, 0.500, 0.000)
Ac (0.500, 0.000, 0.000)
Np (0.500, 0.500, 0.500)
O (0.223, 0.223, 0.223)
O (0.252, 0.703, 0.703)
O (0.297, 0.297, 0.748)
O (0.297, 0.748, 0.297)
O (0.703, 0.252, 0.703)
O (0.703, 0.703, 0.252)
O (0.748, 0.297, 0.297)
O (0.777, 0.777, 0.777)

(2)
DFT (PBE) results for an optimized crystal structure of Cs2AcNp2O7.

Calculated values
E_form (uncorrected) ... -2737 meV per atom
E_tot ... -8.270 eV/atom

Cell: 12.395 12.395 12.395 Å, 159.53 159.53 29.10°
Fractional coordinates of all 12 atoms:
Cs (0.193, 0.193, 0.000)
Cs (0.807, 0.807, 0.000)
Ac (0.000, 0.000, 0.000)
Np (0.410, 0.410, 0.000)
Np (0.590, 0.590, 0.000)
O (0.073, 0.573, 0.500)
O (0.326, 0.326, 0.000)
O (0.427, 0.927, 0.500)
O (0.500, 0.500, 0.000)
O (0.573, 0.073, 0.500)
O (0.674, 0.674, 0.000)
O (0.927, 0.427, 0.500)

(3)
DFT (PBE) results for an optimized crystal structure of CsAc2NpO6.

Calculated values
E_form (uncorrected) ... -2922 meV per atom
E_tot ... -8.098 eV/atom

Cell: 6.777 6.777 6.777 Å, 56.50 56.50 56.50°
Fractional coordinates of all 10 atoms:
Cs (0.000, 0.000, 0.000)
Ac (0.250, 0.250, 0.250)
Ac (0.769, 0.769, 0.769)
Np (0.455, 0.455, 0.455)
O (0.092, 0.577, 0.445)
O (0.211, 0.508, 0.823)
O (0.445, 0.092, 0.577)
O (0.508, 0.823, 0.211)
O (0.577, 0.445, 0.092)
O (0.823, 0.211, 0.508)

(4)
DFT (PBE) results for an optimized crystal structure of Cs2AcNpS4.

Calculated values
E_form (uncorrected) ... -1582 meV per atom
E_tot ... -5.990 eV/atom

Cell: 7.533 4.326 8.472 Å, 90.00 107.15 90.00°
Fractional coordinates of all 8 atoms:
Cs (0.000, 0.000, 0.000)
Cs (0.500, 0.500, 0.000)
Ac (0.000, 0.500, 0.500)
Np (0.500, 0.000, 0.500)
S (0.244, 0.000, 0.690)
S (0.288, 0.500, 0.318)
S (0.712, 0.500, 0.682)
S (0.756, 0.000, 0.310)

(5)
DFT (PBE) results for an optimized crystal structure of Cs2AcNp2S7.

Calculated values
E_form (uncorrected) ... -1417 meV per atom
E_tot ... -6.466 eV/atom

Cell: 14.287 14.287 14.287 Å, 159.03 159.03 29.83°
Fractional coordinates of all 12 atoms:
Cs (0.187, 0.187, 0.000)
Cs (0.813, 0.813, 0.000)
Ac (0.000, 0.000, 0.000)
Np (0.408, 0.408, 0.000)
Np (0.592, 0.592, 0.000)
S (0.074, 0.574, 0.500)
S (0.318, 0.318, 0.000)
S (0.426, 0.926, 0.500)
S (0.500, 0.500, 0.000)
S (0.574, 0.074, 0.500)
S (0.682, 0.682, 0.000)
S (0.926, 0.426, 0.500)

(6)
DFT (PBE) results for an optimized crystal structure of Cs2Ac2NpS6.

Calculated values
E_form (uncorrected) ... -1706 meV per atom
E_tot ... -6.036 eV/atom

Cell: 7.483 7.483 8.602 Å, 98.46 98.46 119.38°
Fractional coordinates of all 11 atoms:
Cs (0.169, 0.831, 0.000)
Cs (0.831, 0.169, 0.000)
Ac (0.334, 0.666, 0.500)
Ac (0.666, 0.334, 0.500)
Np (0.000, 0.000, 0.500)
S (0.057, 0.368, 0.679)
S (0.242, 0.242, 0.320)
S (0.368, 0.057, 0.679)
S (0.632, 0.943, 0.321)
S (0.758, 0.758, 0.680)
S (0.943, 0.632, 0.321)